Record 1
# K2NaTlBr6, relaxed, DFT PBE
data_K2NaTlBr6
_symmetry_space_group_name_H-M 'P 1'
_symmetry_Int_Tables_number 1
_cell_length_a 7.7110
_cell_length_b 8.1095
_cell_length_c 13.2293
_cell_angle_alpha 90.00
_cell_angle_beta 124.34
_cell_angle_gamma 90.00
loop_
_symmetry_equiv_pos_as_xyz
'x,y,z'
loop_
_atom_site_label
_atom_site_fract_x
_atom_site_fract_y
_atom_site_fract_z
K1 0.2176 0.0807 0.2459
K2 0.2176 0.4193 0.7459
K3 0.7824 0.5807 0.2541
K4 0.7824 0.9193 0.7541
Na1 0.0000 0.0000 0.5000
Na2 0.0000 0.5000 0.0000
Tl1 0.5000 0.0000 0.0000
Tl2 0.5000 0.5000 0.5000
Br1 0.1523 0.1885 0.9478
Br2 0.1523 0.3115 0.4478
Br3 0.2617 0.7083 0.9444
Br4 0.2617 0.7917 0.4444
Br5 0.3691 0.0300 0.7566
Br6 0.3691 0.4700 0.2566
Br7 0.6309 0.5300 0.7434
Br8 0.6309 0.9700 0.2434
Br9 0.7383 0.2083 0.5556
Br10 0.7383 0.2917 0.0556
Br11 0.8477 0.6885 0.5522
Br12 0.8477 0.8115 0.0522
# Space-group type ... P2_1/c
# E above lowest polymorph ... 0.000 eV per atom

Record 2
# KNa2TmBr6, relaxed, DFT PBE
data_KNa2TmBr6
_symmetry_space_group_name_H-M 'P 1'
_symmetry_Int_Tables_number 1
_cell_length_a 8.1549
_cell_length_b 8.1549
_cell_length_c 8.1549
_cell_angle_alpha 55.33
_cell_angle_beta 55.33
_cell_angle_gamma 55.33
loop_
_symmetry_equiv_pos_as_xyz
'x,y,z'
loop_
_atom_site_label
_atom_site_fract_x
_atom_site_fract_y
_atom_site_fract_z
K1 0.0000 0.0000 0.0000
Na1 0.2909 0.2909 0.2909
Na2 0.8041 0.8041 0.8041
Tm1 0.4843 0.4843 0.4843
Br1 0.0966 0.6658 0.4349
Br2 0.2384 0.5674 0.8617
Br3 0.4349 0.0966 0.6658
Br4 0.5674 0.8617 0.2384
Br5 0.6658 0.4349 0.0966
Br6 0.8617 0.2384 0.5674
# Space-group type ... R3

Record 3
# KNa2UBr6, relaxed, DFT PBE
data_KNa2UBr6
_symmetry_space_group_name_H-M 'P 1'
_symmetry_Int_Tables_number 1
_cell_length_a 8.2640
_cell_length_b 8.2640
_cell_length_c 8.2640
_cell_angle_alpha 55.41
_cell_angle_beta 55.41
_cell_angle_gamma 55.41
loop_
_symmetry_equiv_pos_as_xyz
'x,y,z'
loop_
_atom_site_label
_atom_site_fract_x
_atom_site_fract_y
_atom_site_fract_z
K1 0.0000 0.0000 0.0000
Na1 0.2893 0.2893 0.2893
Na2 0.8014 0.8014 0.8014
U1 0.4845 0.4845 0.4845
Br1 0.0840 0.6610 0.4373
Br2 0.2176 0.5693 0.8777
Br3 0.4373 0.0840 0.6610
Br4 0.5694 0.8777 0.2176
Br5 0.6610 0.4373 0.0840
Br6 0.8777 0.2176 0.5694
# Space-group type ... R3

Record 4
# KNaUBr6, relaxed, DFT PBE
data_KNaUBr6
_symmetry_space_group_name_H-M 'P 1'
_symmetry_Int_Tables_number 1
_cell_length_a 7.5356
_cell_length_b 7.5356
_cell_length_c 14.3516
_cell_angle_alpha 90.00
_cell_angle_beta 90.00
_cell_angle_gamma 120.00
loop_
_symmetry_equiv_pos_as_xyz
'x,y,z'
loop_
_atom_site_label
_atom_site_fract_x
_atom_site_fract_y
_atom_site_fract_z
K1 0.0000 0.0000 0.0000
K2 0.0000 0.0000 0.5000
Na1 0.3333 0.6667 0.2500
Na2 0.6667 0.3333 0.7500
U1 0.3333 0.6667 0.7500
U2 0.6667 0.3333 0.2500
Br1 0.0223 0.3752 0.6366
Br2 0.0223 0.6471 0.8634
Br3 0.3529 0.3752 0.8634
Br4 0.3529 0.9777 0.6366
Br5 0.3752 0.0223 0.1366
Br6 0.3752 0.3529 0.3634
Br7 0.6248 0.6471 0.6366
Br8 0.6248 0.9777 0.8634
Br9 0.6471 0.0223 0.3634
Br10 0.6471 0.6248 0.1366
Br11 0.9777 0.3529 0.1366
Br12 0.9777 0.6248 0.3634
# Space-group type ... P-31c

Record 5
# KNa2UBr8, relaxed, DFT PBE
data_KNa2UBr8
_symmetry_space_group_name_H-M 'P 1'
_symmetry_Int_Tables_number 1
_cell_length_a 6.9039
_cell_length_b 7.3198
_cell_length_c 9.6839
_cell_angle_alpha 82.11
_cell_angle_beta 83.94
_cell_angle_gamma 88.33
loop_
_symmetry_equiv_pos_as_xyz
'x,y,z'
loop_
_atom_site_label
_atom_site_fract_x
_atom_site_fract_y
_atom_site_fract_z
K1 0.0000 0.0000 0.0000
Na1 0.4184 0.4334 0.1909
Na2 0.5816 0.5666 0.8091
U1 0.0000 0.0000 0.5000
Br1 0.1986 0.8130 0.7029
Br2 0.2402 0.2907 0.4832
Br3 0.2399 0.8568 0.3017
Br4 0.3076 0.3169 0.9503
Br5 0.6924 0.6831 0.0497
Br6 0.7601 0.1432 0.6983
Br7 0.7598 0.7093 0.5168
Br8 0.8014 0.1870 0.2971
# Space-group type ... P-1

Record 6
# KNa3Zn4Br12, relaxed, DFT PBE
data_KNa3Zn4Br12
_symmetry_space_group_name_H-M 'P 1'
_symmetry_Int_Tables_number 1
_cell_length_a 9.4333
_cell_length_b 9.4333
_cell_length_c 9.4333
_cell_angle_alpha 104.61
_cell_angle_beta 104.61
_cell_angle_gamma 104.61
loop_
_symmetry_equiv_pos_as_xyz
'x,y,z'
loop_
_atom_site_label
_atom_site_fract_x
_atom_site_fract_y
_atom_site_fract_z
K1 0.0000 0.0000 0.0000
Na1 0.0000 0.5488 0.4512
Na2 0.4512 0.0000 0.5488
Na3 0.5488 0.4512 0.0000
Zn1 0.0559 0.5000 0.9441
Zn2 0.5000 0.5000 0.5000
Zn3 0.5000 0.9441 0.0559
Zn4 0.9441 0.0559 0.5000
Br1 0.0452 0.6596 0.7894
Br2 0.1018 0.8982 0.5000
Br3 0.2106 0.3404 0.9548
Br4 0.3404 0.9548 0.2106
Br5 0.3431 0.6569 0.5000
Br6 0.5000 0.1018 0.8982
Br7 0.5000 0.3431 0.6569
Br8 0.6569 0.5000 0.3431
Br9 0.6596 0.7894 0.0452
Br10 0.7894 0.0452 0.6596
Br11 0.8982 0.5000 0.1018
Br12 0.9548 0.2106 0.3404
# Space-group type ... R32

Record 7
# KNaZnBr4, relaxed, DFT PBE
data_KNaZnBr4
_symmetry_space_group_name_H-M 'P 1'
_symmetry_Int_Tables_number 1
_cell_length_a 7.1894
_cell_length_b 7.5620
_cell_length_c 8.8700
_cell_angle_alpha 90.00
_cell_angle_beta 107.10
_cell_angle_gamma 90.00
loop_
_symmetry_equiv_pos_as_xyz
'x,y,z'
loop_
_atom_site_label
_atom_site_fract_x
_atom_site_fract_y
_atom_site_fract_z
K1 0.2406 0.2500 0.0573
K2 0.7594 0.7500 0.9427
Na1 0.2238 0.2500 0.5553
Na2 0.7762 0.7500 0.4447
Zn1 0.2347 0.7500 0.3215
Zn2 0.7653 0.2500 0.6785
Br1 0.0061 0.5012 0.2708
Br2 0.0061 0.9988 0.2708
Br3 0.4288 0.7500 0.1388
Br4 0.4488 0.7500 0.5872
Br5 0.5512 0.2500 0.4128
Br6 0.5712 0.2500 0.8612
Br7 0.9939 0.0012 0.7292
Br8 0.9939 0.4988 0.7292
# Space-group type ... P2_1/m

Record 8
# K3Na3ZnBr8, relaxed, DFT PBE
data_K3Na3ZnBr8
_symmetry_space_group_name_H-M 'P 1'
_symmetry_Int_Tables_number 1
_cell_length_a 9.0773
_cell_length_b 9.0773
_cell_length_c 9.0773
_cell_angle_alpha 57.10
_cell_angle_beta 57.10
_cell_angle_gamma 57.10
loop_
_symmetry_equiv_pos_as_xyz
'x,y,z'
loop_
_atom_site_label
_atom_site_fract_x
_atom_site_fract_y
_atom_site_fract_z
K1 0.0000 0.5000 0.5000
K2 0.5000 0.0000 0.5000
K3 0.5000 0.5000 0.0000
Na1 0.0000 0.0000 0.5000
Na2 0.0000 0.5000 0.0000
Na3 0.5000 0.0000 0.0000
Zn1 0.5000 0.5000 0.5000
Br1 0.2408 0.2408 0.2408
Br2 0.2693 0.7155 0.7155
Br3 0.2845 0.2845 0.7307
Br4 0.2845 0.7307 0.2845
Br5 0.7155 0.2693 0.7155
Br6 0.7155 0.7155 0.2693
Br7 0.7307 0.2845 0.2845
Br8 0.7592 0.7592 0.7592
# Space-group type ... R-3m

Record 9
# KNaZrBr6, relaxed, DFT PBE
data_KNaZrBr6
_symmetry_space_group_name_H-M 'P 1'
_symmetry_Int_Tables_number 1
_cell_length_a 7.4419
_cell_length_b 7.4419
_cell_length_c 13.9682
_cell_angle_alpha 90.00
_cell_angle_beta 90.00
_cell_angle_gamma 120.00
loop_
_symmetry_equiv_pos_as_xyz
'x,y,z'
loop_
_atom_site_label
_atom_site_fract_x
_atom_site_fract_y
_atom_site_fract_z
K1 0.0000 0.0000 0.0000
K2 0.0000 0.0000 0.5000
Na1 0.3333 0.6667 0.2500
Na2 0.6667 0.3333 0.7500
Zr1 0.3333 0.6667 0.7500
Zr2 0.6667 0.3333 0.2500
Br1 0.0341 0.3855 0.6392
Br2 0.0341 0.6486 0.8608
Br3 0.3514 0.3855 0.8608
Br4 0.3514 0.9659 0.6392
Br5 0.3855 0.0341 0.1392
Br6 0.3855 0.3514 0.3608
Br7 0.6145 0.6486 0.6392
Br8 0.6145 0.9659 0.8608
Br9 0.6486 0.0341 0.3608
Br10 0.6486 0.6145 0.1392
Br11 0.9659 0.3514 0.1392
Br12 0.9659 0.6145 0.3608
# Space-group type ... P-31c

Record 10
# K2NaZrBr6, relaxed, DFT PBE
data_K2NaZrBr6
_symmetry_space_group_name_H-M 'P 1'
_symmetry_Int_Tables_number 1
_cell_length_a 14.6400
_cell_length_b 14.6400
_cell_length_c 14.6400
_cell_angle_alpha 30.64
_cell_angle_beta 30.64
_cell_angle_gamma 30.64
loop_
_symmetry_equiv_pos_as_xyz
'x,y,z'
loop_
_atom_site_label
_atom_site_fract_x
_atom_site_fract_y
_atom_site_fract_z
K1 0.1405 0.1405 0.1405
K2 0.3079 0.3079 0.3079
K3 0.6921 0.6921 0.6921
K4 0.8595 0.8595 0.8595
Na1 0.4157 0.4157 0.4157
Na2 0.5843 0.5843 0.5843
Zr1 0.0000 0.0000 0.0000
Zr2 0.5000 0.5000 0.5000
Br1 0.1300 0.6288 0.6288
Br2 0.2024 0.2024 0.7080
Br3 0.2024 0.7080 0.2024
Br4 0.2920 0.7976 0.7976
Br5 0.3712 0.3712 0.8700
Br6 0.3712 0.8700 0.3712
Br7 0.6288 0.1300 0.6288
Br8 0.6288 0.6288 0.1300
Br9 0.7080 0.2024 0.2024
Br10 0.7976 0.2920 0.7976
Br11 0.7976 0.7976 0.2920
Br12 0.8700 0.3712 0.3712
# Space-group type ... R-3m

Record 11
# K6NbBr12, relaxed, DFT PBE
data_K6NbBr12
_symmetry_space_group_name_H-M 'P 1'
_symmetry_Int_Tables_number 1
_cell_length_a 9.4367
_cell_length_b 9.4367
_cell_length_c 9.4367
_cell_angle_alpha 90.38
_cell_angle_beta 90.38
_cell_angle_gamma 90.38
loop_
_symmetry_equiv_pos_as_xyz
'x,y,z'
loop_
_atom_site_label
_atom_site_fract_x
_atom_site_fract_y
_atom_site_fract_z
K1 0.1541 0.8404 0.3309
K2 0.1596 0.6691 0.8459
K3 0.3309 0.1541 0.8404
K4 0.6691 0.8459 0.1596
K5 0.8404 0.3309 0.1541
K6 0.8459 0.1596 0.6691
Nb1 0.5000 0.5000 0.5000
Br1 0.0516 0.3455 0.8811
Br2 0.1189 0.9484 0.6545
Br3 0.2294 0.5049 0.4921
Br4 0.3455 0.8811 0.0516
Br5 0.4921 0.2294 0.5049
Br6 0.4951 0.5079 0.7706
Br7 0.5049 0.4921 0.2294
Br8 0.5079 0.7706 0.4951
Br9 0.6545 0.1189 0.9484
Br10 0.7706 0.4951 0.5079
Br11 0.8811 0.0516 0.3455
Br12 0.9484 0.6545 0.1189
# Space-group type ... R-3

Record 12
# K3NbBr6, relaxed, DFT PBE
data_K3NbBr6
_symmetry_space_group_name_H-M 'P 1'
_symmetry_Int_Tables_number 1
_cell_length_a 7.7411
_cell_length_b 8.1860
_cell_length_c 13.4758
_cell_angle_alpha 90.00
_cell_angle_beta 123.50
_cell_angle_gamma 90.00
loop_
_symmetry_equiv_pos_as_xyz
'x,y,z'
loop_
_atom_site_label
_atom_site_fract_x
_atom_site_fract_y
_atom_site_fract_z
K1 0.0000 0.0000 0.0000
K2 0.0000 0.5000 0.5000
K3 0.2868 0.0846 0.7567
K4 0.2868 0.4154 0.2567
K5 0.7132 0.5846 0.7433
K6 0.7132 0.9154 0.2433
Nb1 0.5000 0.0000 0.5000
Nb2 0.5000 0.5000 0.0000
Br1 0.1619 0.0322 0.2803
Br2 0.1619 0.4678 0.7803
Br3 0.2814 0.6716 0.0626
Br4 0.2814 0.8284 0.5626
Br5 0.4012 0.2222 0.0621
Br6 0.4012 0.2778 0.5621
Br7 0.5988 0.7222 0.4379
Br8 0.5988 0.7778 0.9379
Br9 0.7186 0.1716 0.4374
Br10 0.7186 0.3284 0.9374
Br11 0.8381 0.5322 0.2197
Br12 0.8381 0.9678 0.7197
# Space-group type ... P2_1/c

What are the formation energy without anion corrections values for these records? In order: -12.0; -17.2; -14.8; -13.4; -16.5; -22.4; -9.3; -22.0; -13.7; -14.9; -24.6; -13.5 eV per formula unit.
What are the uncorrected energy values for these records? In order: -2.796; -3.548; -3.989; -4.128; -3.744; -2.629; -2.810; -2.927; -3.855; -3.696; -3.230; -3.689 eV per atom.